VASP calculation (PBE-GGA) on a relaxed Er8Cd2Os crystal.

Cell and atoms, written as extended XYZ:
```
11
Lattice="5.259 0.000 0.000 0.000 6.928 -0.035 -2.629 -3.015 8.169" Properties=species:S:1:pos:R:3 pbc="T T T"
Er 2.629 3.117 4.935
Er 0.000 5.357 0.298
Cd 0.000 3.771 2.933
Er 0.000 0.795 3.199
Os 2.629 0.000 0.000
Er 0.000 1.565 6.627
Er 2.629 5.666 2.460
Cd 2.629 0.141 5.201
Er 2.629 2.347 1.507
Er 0.000 -1.753 5.675
Er 2.629 -1.445 7.836
```

Output
**D(E_F)**: 0.708 states/eV/atom
**Total energy**: -4.694 eV/atom
**ρ**: 9.8 g/cm3